1.
Entry from Alexandria: a relaxed structure of YMn2As (GGA-PBE).

- Crystal system: tetragonal
- Space group: No. 123

Cell lengths 3.401, 3.401, 6.114 Å; angles 90.00, 90.00, 90.00 degrees
Fractional coordinates of all 4 atoms:
Y1 0.000 0.000 0.000
Mn1 0.500 0.500 0.299
Mn2 0.500 0.500 0.701
As1 0.000 0.000 0.500

---

2.
Entry from Alexandria: a relaxed structure of YMn2As (GGA-PBE).

- Crystal system: monoclinic
- Space group: No. 10

Cell lengths 3.581, 4.288, 5.269 Å; angles 90.00, 102.69, 90.00 degrees
Fractional coordinates of all 4 atoms:
Y1 0.000 0.000 0.000
Mn1 0.386 0.500 0.727
Mn2 0.614 0.500 0.273
As1 0.500 0.000 0.500

---

3.
Entry from Alexandria: a relaxed structure of YMnAs (GGA-PBE).

- Crystal system: cubic
- Space group: No. 216

Cell lengths 4.512, 4.512, 4.512 Å; angles 60.00, 60.00, 60.00 degrees
Fractional coordinates of all 3 atoms:
Y1 0.000 0.000 0.000
Mn1 0.500 0.500 0.500
As1 0.250 0.250 0.250

---

4.
Entry from Alexandria: a relaxed structure of YMnAs (GGA-PBE).

- Crystal system: cubic
- Space group: No. 216

Cell lengths 4.759, 4.759, 4.759 Å; angles 60.00, 60.00, 60.00 degrees
Fractional coordinates of all 3 atoms:
Y1 0.000 0.000 0.000
Mn1 0.250 0.250 0.250
As1 0.750 0.750 0.750

---

5.
Entry from Alexandria: a relaxed structure of YMn2As (GGA-PBE).

- Crystal system: cubic
- Space group: No. 216

Cell lengths 4.694, 4.694, 4.694 Å; angles 60.00, 60.00, 60.00 degrees
Fractional coordinates of all 4 atoms:
Y1 0.000 0.000 0.000
Mn1 0.250 0.250 0.250
Mn2 0.500 0.500 0.500
As1 0.750 0.750 0.750

---

6.
Entry from Alexandria: a relaxed structure of YMn2As (GGA-PBE).

- Crystal system: orthorhombic
- Space group: No. 44

Cell lengths 5.308, 5.308, 5.308 Å; angles 138.74, 131.32, 65.67 degrees
Fractional coordinates of all 4 atoms:
Y1 0.000 0.000 0.000
Mn1 0.439 0.439 0.000
Mn2 0.734 0.234 0.500
As1 0.257 0.757 0.500

---

7.
Entry from Alexandria: a relaxed structure of YMn2As (GGA-PBE).

- Crystal system: tetragonal
- Space group: No. 99

Cell lengths 3.361, 3.361, 6.508 Å; angles 90.00, 90.00, 90.00 degrees
Fractional coordinates of all 4 atoms:
Y1 0.000 0.000 0.000
Mn1 0.000 0.000 0.493
Mn2 0.500 0.500 0.707
As1 0.500 0.500 0.320

---

8.
Entry from Alexandria: a relaxed structure of YMnAs (GGA-PBE).

- Crystal system: tetragonal
- Space group: No. 107

Cell lengths 5.648, 5.648, 5.648 Å; angles 144.96, 144.96, 50.40 degrees
Fractional coordinates of all 3 atoms:
Y1 0.000 0.000 0.000
Mn1 0.695 0.695 0.000
As1 0.296 0.296 0.000

---

9.
Entry from Alexandria: a relaxed structure of Mn2ZnAs (GGA-PBE).

- Crystal system: monoclinic
- Space group: No. 6
- Energy above the lowest structure with this stoichiometry: 30.5 kJ/mol of formula units

Cell lengths 2.871, 4.353, 4.552 Å; angles 90.00, 93.42, 90.00 degrees
Fractional coordinates of all 4 atoms:
Mn1 0.000 0.000 0.000
Mn2 0.075 0.500 0.631
Zn1 0.547 0.500 0.117
As1 0.523 0.000 0.510

---

10.
Entry from Alexandria: a relaxed structure of Mn2ZnAs (GGA-PBE).

- Crystal system: tetragonal
- Space group: No. 119
- Energy above the lowest structure with this stoichiometry: 0.0 kJ/mol of formula units

Cell lengths 4.929, 4.929, 4.929 Å; angles 136.28, 136.28, 63.55 degrees
Fractional coordinates of all 4 atoms:
Mn1 0.000 0.000 0.000
Mn2 0.750 0.250 0.500
Zn1 0.500 0.500 0.000
As1 0.250 0.750 0.500

---

11.
Entry from Alexandria: a relaxed structure of Mn2ZnAs (GGA-PBE).

- Crystal system: tetragonal
- Space group: No. 123
- Energy above the lowest structure with this stoichiometry: 4.4 kJ/mol of formula units

Cell lengths 3.199, 3.199, 5.562 Å; angles 90.00, 90.00, 90.00 degrees
Fractional coordinates of all 4 atoms:
Mn1 0.000 0.000 0.240
Mn2 0.000 0.000 0.760
Zn1 0.500 0.500 0.500
As1 0.500 0.500 0.000

---

12.
Entry from Alexandria: a relaxed structure of Mn2ZnAs (GGA-PBE).

- Crystal system: trigonal
- Space group: No. 166
- Energy above the lowest structure with this stoichiometry: 50.2 kJ/mol of formula units

Cell lengths 8.026, 8.026, 8.026 Å; angles 21.29, 21.29, 21.29 degrees
Fractional coordinates of all 4 atoms:
Mn1 0.247 0.247 0.247
Mn2 0.753 0.753 0.753
Zn1 0.000 0.000 0.000
As1 0.500 0.500 0.500

---

Number 1: formation energy from the elements 9 meV per atom. Number 2: formation energy from the elements -43 meV per atom. Number 3: formation energy from the elements -411 meV per atom. Number 4: formation energy from the elements 168 meV per atom. Number 5: formation energy from the elements 76 meV per atom. Number 6: formation energy from the elements -61 meV per atom. Number 7: formation energy from the elements -87 meV per atom. Number 8: formation energy from the elements -350 meV per atom. Number 9: formation energy from the elements 123 meV per atom. Number 10: formation energy from the elements 44 meV per atom. Number 11: formation energy from the elements 55 meV per atom. Number 12: formation energy from the elements 174 meV per atom.